(1)
The following is a DFT calculation (GGA-PBE) of RuC after structural relaxation.

Offset from the most stable computed form in meV per atom: 482
Magnetization in μB per formula unit: 0.00
Energy relative to the elements in eV per atom: 0.847

Cell lengths 6.260, 6.260, 6.260 Å; angles 90.00, 90.00, 90.00 degrees
Space group I-43m (No. 217)
Inequivalent atoms, fractional coordinates:
Ru1 0.158 0.158 0.842 (multiplicity 8)
C1 0.163 0.163 0.163 (multiplicity 8)

***

(2)
The following is a DFT calculation (GGA-PBE) of SmHo5Er12 after structural relaxation.

Magnetization in μB per formula unit: 0.00
Energy relative to the elements in eV per atom: 0.023

Cell lengths 14.911, 14.938, 4.968 Å; angles 90.00, 90.00, 90.00 degrees
Space group Cmmm (No. 65)
Inequivalent atoms, fractional coordinates:
Sm1 0.000 0.000 0.000 (multiplicity 2)
Ho1 0.000 0.167 0.500 (multiplicity 4)
Ho2 0.000 0.333 0.000 (multiplicity 4)
Ho3 0.000 0.500 0.500 (multiplicity 2)
Er1 0.167 0.167 0.000 (multiplicity 8)
Er2 0.167 0.334 0.500 (multiplicity 8)
Er3 0.167 0.500 0.000 (multiplicity 4)
Er4 0.168 0.000 0.500 (multiplicity 4)

***

no.,uncorrected energy (eV for the cell shown)
1,-134.44
2,-163.91